DFT (PBE-GGA) results for a relaxed TbDy3ErTh crystal.

```
TbDy3ErTh
1.0
-3.901 -0.291 3.746
-3.514 -6.960 -8.117
2.656 -5.735 2.320
Tb Dy Er Th
2 6 2 2
direct
0.368 0.737 0.958
0.632 0.263 0.042
0.835 0.671 0.262
0.776 0.552 0.808
0.473 0.946 0.273
0.224 0.448 0.192
0.527 0.054 0.727
0.165 0.329 0.738
0.669 0.338 0.477
0.331 0.662 0.523
0.067 0.134 0.327
0.933 0.866 0.673
```

Results
formation energy from the elements	0.195	eV/atom
D(E_F)	15.50	states/eV/cell

---

DFT (PBE-GGA) results for a relaxed TbY3Tm4S8 crystal.

```
TbY3Tm4S8
1.0
-4.336 -0.310 6.416
-2.375 -7.147 -1.951
7.577 1.543 0.515
Tb Y Tm S
1 3 4 8
direct
0.000 0.500 0.000
0.500 0.500 0.000
0.500 0.500 0.500
0.000 0.500 0.500
0.500 0.000 0.000
0.500 0.000 0.500
0.000 0.000 0.000
0.000 0.000 0.500
0.253 0.758 0.005
0.253 0.758 0.506
0.247 0.242 0.495
0.752 0.758 0.005
0.248 0.242 0.995
0.753 0.758 0.505
0.747 0.242 0.494
0.747 0.242 0.995
```

Results
energy relative to the elements, uncorrected	-1962	meV/atom
D(E_F)	8.87	states/eV/cell

---

DFT (PBE-GGA) results for a relaxed TmPa2Bi2C2 crystal.

```
TmPa2Bi2C2
1.0
4.514 0.000 0.000
0.000 4.514 0.000
-2.257 -2.257 7.683
Tm Pa Bi C
1 2 2 2
direct
0.000 0.000 0.000
0.411 0.411 0.822
0.589 0.589 0.178
0.205 0.205 0.410
0.795 0.795 0.590
0.000 0.500 0.000
0.500 0.000 0.000
```

Results
formation energy from the elements	-0.098	eV/atom
D(E_F)	5.92	states/eV/cell